# 1
DFT (GGA-PBE) results for an optimized crystal structure of MnPd3Au6.

Calculated values
E above lowest polymorph	0	meV per atom
DOS at the Fermi energy	7.84	states/eV per cell
symmetry	No. 2

a = 4.958 Å, b = 7.595 Å, c = 9.943 Å
α = 109.14°, β = 98.52°, γ = 101.23°
Atoms (fractional coordinates):
Mn (0.237, 0.344, 0.396)
Mn (0.763, 0.656, 0.604)
Pd (0.246, 0.153, 0.596)
Pd (0.247, 0.545, 0.203)
Pd (0.248, 0.748, 0.000)
Pd (0.752, 0.252, 0.000)
Pd (0.753, 0.455, 0.797)
Pd (0.754, 0.847, 0.404)
Au (0.250, 0.152, 0.102)
Au (0.250, 0.946, 0.301)
Au (0.250, 0.950, 0.798)
Au (0.251, 0.354, 0.900)
Au (0.256, 0.546, 0.694)
Au (0.258, 0.743, 0.498)
Au (0.742, 0.257, 0.502)
Au (0.744, 0.454, 0.306)
Au (0.749, 0.646, 0.100)
Au (0.750, 0.050, 0.202)
Au (0.750, 0.054, 0.699)
Au (0.750, 0.848, 0.898)

# 2
DFT (GGA-PBE) results for an optimized crystal structure of Mn2Pd4Au3.

Calculated values
E above lowest polymorph	263	meV per atom
DOS at the Fermi energy	4.96	states/eV per cell
symmetry	No. 2

a = 2.877 Å, b = 6.996 Å, c = 7.159 Å
α = 99.43°, β = 101.51°, γ = 90.12°
Atoms (fractional coordinates):
Mn (0.223, 0.401, 0.447)
Mn (0.777, 0.599, 0.553)
Pd (0.132, 0.710, 0.266)
Pd (0.322, 0.931, 0.644)
Pd (0.678, 0.069, 0.356)
Pd (0.868, 0.290, 0.734)
Au (0.000, 0.000, 0.000)
Au (0.444, 0.645, 0.888)
Au (0.556, 0.355, 0.112)

# 3
DFT (GGA-PBE) results for an optimized crystal structure of MnPd8Au5.

Calculated values
DOS at the Fermi energy	11.99	states/eV per cell
symmetry	No. 82
electronic total energy	-4.739	eV per atom

a = 6.792 Å, b = 6.792 Å, c = 6.792 Å
α = 110.12°, β = 110.12°, γ = 108.18°
Atoms (fractional coordinates):
Mn (0.000, 0.000, 0.000)
Pd (0.022, 0.417, 0.266)
Pd (0.071, 0.142, 0.727)
Pd (0.151, 0.756, 0.734)
Pd (0.244, 0.978, 0.395)
Pd (0.415, 0.343, 0.273)
Pd (0.583, 0.849, 0.605)
Pd (0.657, 0.929, 0.072)
Pd (0.858, 0.585, 0.928)
Au (0.299, 0.624, 0.090)
Au (0.376, 0.467, 0.676)
Au (0.533, 0.209, 0.910)
Au (0.750, 0.250, 0.500)
Au (0.791, 0.701, 0.324)